Computed, not measured: a relaxed Tb3Pm6Nd2Sm crystal at the GGA-PBE level of DFT.

The structure in POSCAR format:
```
Tb3Pm6Nd2Sm
1.0
3.1477 -5.4516 0.0000
3.1477 5.4516 0.0000
-2.1009 0.0000 11.8432
Tb Pm Nd Sm
3 6 2 1
direct
0.0000 0.0000 0.0000
0.3334 0.6666 0.0000
0.6666 0.3334 0.0000
0.0827 0.4157 0.2471
0.2513 0.2513 0.7530
0.4157 0.0827 0.2471
0.5843 0.9173 0.7529
0.7487 0.7487 0.2470
0.9173 0.5843 0.7529
0.1667 0.8333 0.5000
0.8333 0.1667 0.5000
0.5000 0.5000 0.5000
```

Results
**N(E_F)**: 16.646 states/eV per cell
**Raw total energy**: -4.7072 eV/atom